VASP calculation (meta-GGA SCAN) on a PBEsol-optimized structure of KLiSi2.

Properties
Formation energy without anion corrections: 3 kJ per mole of atoms

Cell: 3.761 4.705 6.468 Å, 72.99 73.10 66.44°
Element x y z (fractional)
K1 0.493 0.515 0.499
Si1 0.997 0.078 0.928
Si2 0.328 0.232 0.113
Li1 0.683 0.675 0.960

=====

VASP calculation (meta-GGA SCAN) on a PBEsol-optimized structure of ScTcOs2.

Properties
VASP energy: -48.193 eV/atom

Cell: 2.789 3.802 5.768 Å, 90.00 90.00 90.00°
Element x y z (fractional)
Os1 0.000 0.000 0.000
Os2 0.500 0.500 0.226
Sc1 0.000 0.000 0.496
Tc1 0.500 0.500 0.778

=====

VASP calculation (meta-GGA SCAN) on a PBEsol-optimized structure of LiCaIn2.

Properties
VASP energy: -20.200 eV/atom

Cell: 3.442 3.439 7.644 Å, 90.00 90.00 90.00°
Element x y z (fractional)
Ca1 0.500 0.500 0.500
In1 0.000 0.000 0.793
In2 0.000 0.000 0.207
Li1 0.500 0.500 0.000

=====

VASP calculation (meta-GGA SCAN) on a PBEsol-optimized structure of La3Sc.

Properties
VASP energy: -35.833 eV/atom

Cell: 3.590 3.590 9.639 Å, 90.00 90.00 90.00°
Element x y z (fractional)
Sc1 0.500 0.500 0.500
La1 0.000 0.000 0.735
La2 0.000 0.000 0.265
La3 0.500 0.500 0.000

=====

VASP calculation (meta-GGA SCAN) on a PBEsol-optimized structure of CuRe2Ir.

Properties
VASP energy: -56.959 eV/atom

Cell: 2.679 4.726 4.726 Å, 112.83 90.00 90.00°
Element x y z (fractional)
Cu1 0.500 0.000 0.000
Ir1 0.500 0.500 0.500
Re1 0.000 0.500 0.000
Re2 0.000 0.000 0.500

=====

VASP calculation (meta-GGA SCAN) on a PBEsol-optimized structure of Ho2InHg.

Properties
VASP energy: -50.526 eV/atom

Cell: 5.179 5.179 5.179 Å, 60.00 60.00 60.00°
Element x y z (fractional)
Ho1 0.750 0.750 0.750
Ho2 0.250 0.250 0.250
Hg1 0.000 0.000 0.000
In1 0.500 0.500 0.500

=====

VASP calculation (meta-GGA SCAN) on a PBEsol-optimized structure of CaNiSb.

Properties
Formation energy without anion corrections: -65 kJ per mole of atoms

Cell: 4.223 4.252 4.252 Å, 120.00 90.00 90.00°
Element x y z (fractional)
Sb1 0.000 0.667 0.333
Ca1 0.500 0.000 0.000
Ni1 0.000 0.333 0.667

=====

VASP calculation (meta-GGA SCAN) on a PBEsol-optimized structure of Mo.

Properties
VASP energy: -32.508 eV/atom

Cell: 3.964 3.964 3.964 Å, 60.00 60.00 60.00°
Element x y z (fractional)
Mo1 0.250 0.250 0.250
Mo2 0.000 0.000 0.000

=====

VASP calculation (meta-GGA SCAN) on a PBEsol-optimized structure of BaCoRu3.

Properties
VASP energy: -29.240 eV/atom

Cell: 4.829 4.829 4.829 Å, 90.00 90.00 90.00°
Element x y z (fractional)
Ru1 0.000 0.500 0.000
Ru2 0.000 0.000 0.500
Ru3 0.500 0.000 0.000
Co1 0.500 0.500 0.500
Ba1 0.000 0.000 0.000

=====

VASP calculation (meta-GGA SCAN) on a PBEsol-optimized structure of PdS2.

Properties
Formation energy without anion corrections: -33 kJ per mole of atoms

Cell: 5.456 5.530 7.356 Å, 90.00 90.00 90.00°
Element x y z (fractional)
S1 0.894 0.389 0.584
S2 0.394 0.111 0.416
S3 0.394 0.389 0.916
S4 0.894 0.111 0.084
S5 0.106 0.611 0.416
S6 0.606 0.889 0.584
S7 0.606 0.611 0.084
S8 0.106 0.889 0.916
Pd1 0.000 0.000 0.500
Pd2 0.500 0.500 0.500
Pd3 0.500 0.000 0.000
Pd4 0.000 0.500 0.000

=====

VASP calculation (meta-GGA SCAN) on a PBEsol-optimized structure of Na2P2Rh.

Properties
VASP energy: -13.289 eV/atom

Cell: 4.760 5.950 5.950 Å, 90.00 90.00 90.00°
Element x y z (fractional)
P1 0.000 0.368 0.868
P2 0.000 0.868 0.632
P3 0.000 0.632 0.132
P4 0.000 0.132 0.368
Rh1 0.000 0.000 0.000
Rh2 0.000 0.500 0.500
Na1 0.500 0.182 0.682
Na2 0.500 0.682 0.818
Na3 0.500 0.818 0.318
Na4 0.500 0.318 0.182

=====

VASP calculation (meta-GGA SCAN) on a PBEsol-optimized structure of CaYSe3.

Properties
Formation energy without anion corrections: -80 kJ per mole of atoms

Cell: 5.191 5.191 5.191 Å, 90.00 90.00 90.00°
Element x y z (fractional)
Y1 0.500 0.500 0.500
Ca1 0.000 0.000 0.000
Se1 0.000 0.500 0.000
Se2 0.000 0.000 0.500
Se3 0.500 0.000 0.000